1.
Density functional theory data (PBE-GGA) for a relaxed structure of Y4Lu2Pb3N3.

As for the total energy: -7.02 eV per atom. The value obtained for the volume is 20.83 Å³ per atom.

The structure belongs to space group C2/c (No. 15); the cell edges are 10.588, 6.115 and 15.842 Å and the angles 90.00°, 102.90° and 90.00°. The asymmetric unit holds Y at (0.112, 0.081, 0.085), Y at (0.220, 0.085, 0.415), Lu at (0.058, 0.416, 0.920), Pb at (0.000, 0.093, 0.750), Pb at (0.162, 0.421, 0.249), N at (0.080, 0.260, 0.500) and N at (0.250, 0.250, 0.000).

=====

2.
Density functional theory data (PBE-GGA) for a relaxed structure of Lu4Zr2Pb3N3.

As for the total energy: -7.01 eV per atom. The value obtained for the volume is 19.14 Å³ per atom.

The structure belongs to space group C2/c (No. 15); the cell edges are 10.292, 5.956 and 15.372 Å and the angles 90.00°, 102.81° and 90.00°. The asymmetric unit holds Lu at (0.111, 0.082, 0.083), Lu at (0.222, 0.084, 0.417), Zr at (0.057, 0.417, 0.922), Pb at (0.000, 0.094, 0.750), Pb at (0.161, 0.424, 0.250), N at (0.084, 0.247, 0.500) and N at (0.250, 0.250, 0.000).

=====

3.
Density functional theory data (PBE-GGA) for a relaxed structure of Lu3Re5N12.

As for the total energy: -9.25 eV per atom. The value obtained for the volume is 12.34 Å³ per atom.

The structure belongs to space group Ia-3d (No. 230); the cell edges are 12.546, 12.546 and 12.546 Å and the angles 90.00°, 90.00° and 90.00°. The asymmetric unit holds Lu at (0.000, 0.250, 0.125), Re at (0.000, 0.000, 0.000), Re at (0.000, 0.250, 0.375) and N at (0.031, 0.053, 0.650).

=====

4.
Density functional theory data (PBE-GGA) for a relaxed structure of Lu3Ta3Re2N12.

As for the total energy: -9.46 eV per atom. The value obtained for the volume is 12.56 Å³ per atom.

The structure belongs to space group Ia-3d (No. 230); the cell edges are 12.620, 12.620 and 12.620 Å and the angles 90.00°, 90.00° and 90.00°. The asymmetric unit holds Lu at (0.000, 0.250, 0.125), Ta at (0.000, 0.250, 0.375), Re at (0.000, 0.000, 0.000) and N at (0.028, 0.057, 0.646).

=====

5.
Density functional theory data (PBE-GGA) for a relaxed structure of Lu2SN.

As for the total energy: -7.24 eV per atom. The value obtained for the volume is 16.31 Å³ per atom.

The structure belongs to space group P6_3/mmc (No. 194); the cell edges are 3.4986, 3.4986 and 12.3091 Å and the angles 90.00°, 90.00° and 120.00°. The asymmetric unit holds Lu at (0.3333, 0.6667, 0.1023), S at (0.3333, 0.6667, 0.7500) and N at (0.0000, 0.0000, 0.0000).

=====

6.
Density functional theory data (PBE-GGA) for a relaxed structure of Lu4SN3.

As for the total energy: -7.78 eV per atom. The value obtained for the volume is 14.71 Å³ per atom.

The structure belongs to space group P6_3/mmc (No. 194); the cell edges are 3.4229, 3.4229 and 23.1999 Å and the angles 90.00°, 90.00° and 120.00°. The asymmetric unit holds Lu at (0.0000, 0.0000, 0.1697), Lu at (0.3333, 0.6667, 0.0563), S at (0.3333, 0.6667, 0.2500), N at (0.0000, 0.0000, 0.0000) and N at (0.3333, 0.6667, 0.6195).

=====

7.
Density functional theory data (PBE-GGA) for a relaxed structure of Lu3S2N.

As for the total energy: -6.87 eV per atom. The value obtained for the volume is 17.27 Å³ per atom.

The structure belongs to space group P-3m1 (No. 164); the cell edges are 3.5828, 3.5828 and 9.3214 Å and the angles 90.00°, 90.00° and 120.00°. The asymmetric unit holds Lu at (0.0000, 0.0000, 0.0000), Lu at (0.3333, 0.6667, 0.6339), S at (0.3333, 0.6667, 0.1800) and N at (0.0000, 0.0000, 0.5000).

=====

8.
Density functional theory data (PBE-GGA) for a relaxed structure of Lu3SN2.

As for the total energy: -7.61 eV per atom. The value obtained for the volume is 15.23 Å³ per atom.

The structure belongs to space group P6_3/mmc (No. 194); the cell edges are 3.4474, 3.4474 and 17.7555 Å and the angles 90.00°, 90.00° and 120.00°. The asymmetric unit holds Lu at (0.0000, 0.0000, 0.0000), Lu at (0.3333, 0.6667, 0.1458), S at (0.0000, 0.0000, 0.2500) and N at (0.3333, 0.6667, 0.5789).

=====

9.
Density functional theory data (PBE-GGA) for a relaxed structure of Lu3SN2.

As for the total energy: -7.61 eV per atom. The value obtained for the volume is 15.20 Å³ per atom.

The structure belongs to space group P-3m1 (No. 164); the cell edges are 3.4551, 3.4551 and 8.8196 Å and the angles 90.00°, 90.00° and 120.00°. The asymmetric unit holds Lu at (0.0000, 0.0000, 0.0000), Lu at (0.3333, 0.6667, 0.7064), S at (0.0000, 0.0000, 0.5000) and N at (0.3333, 0.6667, 0.1588).

=====

10.
Density functional theory data (PBE-GGA) for a relaxed structure of Lu2SN.

As for the total energy: -7.24 eV per atom. The value obtained for the volume is 16.30 Å³ per atom.

The structure belongs to space group P6_3/mmc (No. 194); the cell edges are 3.4962, 3.4962 and 12.3166 Å and the angles 90.00°, 90.00° and 120.00°. The asymmetric unit holds Lu at (0.3333, 0.6667, 0.1022), S at (0.3333, 0.6667, 0.7500) and N at (0.0000, 0.0000, 0.0000).

=====

11.
Density functional theory data (PBE-GGA) for a relaxed structure of Lu4Ta2S3N3.

As for the total energy: -8.12 eV per atom. The value obtained for the volume is 15.05 Å³ per atom.

The structure belongs to space group C2/c (No. 15); the cell edges are 10.188, 5.922 and 12.424 Å and the angles 90.00°, 105.54° and 90.00°. The asymmetric unit holds Lu at (0.118, 0.084, 0.104), Lu at (0.216, 0.082, 0.396), Ta at (0.051, 0.421, 0.910), S at (0.000, 0.110, 0.750), S at (0.153, 0.428, 0.251), N at (0.084, 0.246, 0.500) and N at (0.250, 0.250, 0.000).

=====

12.
Density functional theory data (PBE-GGA) for a relaxed structure of Y4Lu2S3N3.

As for the total energy: -7.86 eV per atom. The value obtained for the volume is 17.37 Å³ per atom.

The structure belongs to space group C2/c (No. 15); the cell edges are 10.716, 6.189 and 13.070 Å and the angles 90.00°, 105.86° and 90.00°. The asymmetric unit holds Y at (0.118, 0.082, 0.104), Y at (0.215, 0.084, 0.396), Lu at (0.050, 0.416, 0.900), S at (0.000, 0.092, 0.750), S at (0.162, 0.421, 0.249), N at (0.080, 0.260, 0.500) and N at (0.250, 0.250, 0.000).